# 1
VASP calculation (PBE) on Ta2HgRh after structural relaxation.

abc: 2.9225 2.9225 28.8980
angles: 90.00 90.00 120.00
Space group R-3m (No. 166, hexagonal axes)
Inequivalent atoms, fractional coordinates:
Ta (0.0000, 0.0000, 0.2435) [6 per cell]
Hg (0.0000, 0.0000, 0.0000) [3 per cell]
Rh (0.0000, 0.0000, 0.5000) [3 per cell]

- crystal system = trigonal



# 2
VASP calculation (PBE) on Ta2HgRh2 after structural relaxation.

abc: 7.694 7.694 2.932
angles: 90.00 90.00 90.00
Space group P4/mbm (No. 127)
Inequivalent atoms, fractional coordinates:
Ta (0.164, 0.336, 0.000) [4 per cell]
Hg (0.000, 0.000, 0.500) [2 per cell]
Rh (0.130, 0.630, 0.500) [4 per cell]

- crystal system = tetragonal



# 3
VASP calculation (PBE) on Ta2HgRh after structural relaxation.

abc: 3.804 4.230 8.641
angles: 90.00 90.00 90.00
Space group Immm (No. 71)
Inequivalent atoms, fractional coordinates:
Ta (0.000, 0.000, 0.243) [4 per cell]
Hg (0.000, 0.500, 0.000) [2 per cell]
Rh (0.000, 0.500, 0.500) [2 per cell]

- crystal system = orthorhombic



# 4
VASP calculation (PBE) on Ta2HgRh after structural relaxation.

abc: 2.897 4.171 5.755
angles: 90.00 90.00 90.00
Space group Pmmm (No. 47)
Inequivalent atoms, fractional coordinates:
Ta (0.000, 0.000, 0.235) [2 per cell]
Hg (0.500, 0.500, 0.500) [1 per cell]
Rh (0.500, 0.500, 0.000) [1 per cell]

- crystal system = orthorhombic



Short version: DFT formation energy = 86; -247; 45; -9 meV/atom, in the order given.